<w>
This record from Alexandria via LeMat-Bulk describes an optimized crystal structure of NiMoRu2. The functional is GGA-PBE.

Output
Size of the total moment ... 0.000 μB per formula unit
D(E_F) ... 1.0081 states/eV per atom
Space-group type ... C2/m

abc: 4.5612 4.5612 4.7365
angles: 98.81 98.81 34.55
Last column: nearest neighbours and their distance in Å.
Sites, in units of the cell vectors:
Ni 0.0000 0.0000 0.0000  6 Ru 2.61-2.63, 2 Ni 2.71, 4 Mo 2.73
Mo 0.5000 0.5000 0.5000  6 Ru 2.67-2.72, 2 Mo 2.71, 4 Ni 2.73
Ru 0.2529 0.2529 0.7684  6 Ru 2.59-2.87, 3 Ni 2.61-2.63, 3 Mo 2.67-2.72
Ru 0.7471 0.7471 0.2316  6 Ru 2.59-2.87, 3 Ni 2.61-2.63, 3 Mo 2.67-2.72


<x>
This record from Alexandria via LeMat-Bulk describes an optimized crystal structure of NiMoRu2. The functional is GGA-PBE.

Output
Size of the total moment ... 0.000 μB per formula unit
D(E_F) ... 1.1998 states/eV per atom
Space-group type ... P2/m

abc: 2.6496 4.3779 4.8133
angles: 90.00 94.27 90.00
Last column: nearest neighbours and their distance in Å.
Sites, in units of the cell vectors:
Ni 0.0000 0.0000 0.0000  4 Ru 2.55, 2 Ni 2.65, 4 Mo 2.66-2.83
Mo 0.5000 0.0000 0.5000  2 Mo 2.65, 4 Ni 2.66-2.83, 4 Ru 2.67
Ru 0.2268 0.5000 0.7699  2 Ni 2.55, 5 Ru 2.55-2.78, 2 Mo 2.67
Ru 0.7732 0.5000 0.2301  2 Ni 2.55, 5 Ru 2.55-2.78, 2 Mo 2.67


<y>
This record from Alexandria via LeMat-Bulk describes an optimized crystal structure of NiMoRu2. The functional is GGA-PBE.

Output
Size of the total moment ... 0.000 μB per formula unit
D(E_F) ... 0.6108 states/eV per atom
Space-group type ... P4/mmm

abc: 3.8404 3.8404 3.6976
angles: 90.00 90.00 90.00
Last column: nearest neighbours and their distance in Å.
Sites, in units of the cell vectors:
Ni 0.0000 0.0000 0.0000  8 Ru 2.67, 4 Mo 2.72
Mo 0.5000 0.5000 0.0000  8 Ru 2.67, 4 Ni 2.72
Ru 0.0000 0.5000 0.5000  4 Mo 2.67, 4 Ni 2.67, 4 Ru 2.72
Ru 0.5000 0.0000 0.5000  4 Mo 2.67, 4 Ni 2.67, 4 Ru 2.72


So which one is most stable? That would be <y>, about 7.7 kJ/mol of atoms below the next structure.


<w>
This record from Alexandria via LeMat-Bulk describes an optimized crystal structure of NiMoRu2. The functional is GGA-PBE.

Output
Size of the total moment ... 0.000 μB per formula unit
D(E_F) ... 1.1684 states/eV per atom
Space-group type ... Fmmm

abc: 4.5801 4.5732 3.8699
angles: 65.08 64.90 50.02
Last column: nearest neighbours and their distance in Å.
Sites, in units of the cell vectors:
Ni 0.0000 0.0000 0.0000  8 Ru 2.67, 4 Mo 2.73-2.74
Mo 0.5000 0.5000 0.5000  8 Ru 2.67, 4 Ni 2.73-2.74
Ru 0.2500 0.2500 0.2500  4 Mo 2.67, 4 Ni 2.67, 4 Ru 2.73-2.74
Ru 0.7500 0.7500 0.7500  4 Mo 2.67, 4 Ni 2.67, 4 Ru 2.73-2.74


<x>
This record from Alexandria via LeMat-Bulk describes an optimized crystal structure of NiMoRu2. The functional is GGA-PBE.

Output
Size of the total moment ... 0.000 μB per formula unit
D(E_F) ... 1.2616 states/eV per atom
Space-group type ... Cm

abc: 4.6638 4.6638 4.6268
angles: 99.24 99.24 33.79
Last column: nearest neighbours and their distance in Å.
Sites, in units of the cell vectors:
Ni 0.0000 0.0000 0.0000  7 Ru 2.64-2.72, 3 Mo 2.66-2.67, 2 Ni 2.71
Mo 0.7472 0.7472 0.2358  3 Ni 2.66-2.67, 7 Ru 2.67-2.79, 2 Mo 2.71
Ru 0.2507 0.2507 0.7400  5 Ru 2.64-2.71, 4 Mo 2.67-2.69, 3 Ni 2.71
Ru 0.5050 0.5050 0.5111  5 Ru 2.64-2.71, 4 Ni 2.64-2.72, 3 Mo 2.69-2.79


So which one is most stable? That would be <w>, about 6.7 kJ/mol of atoms below the next structure.